## La5Ga2H (PBE-GGA)

Data for crystalline La5Ga2H at its relaxed geometry.

Calculated values
The space group is I4mm (107). For the volume, the calculation gives 227 Å³/f.u.

abc: 7.126 7.126 6.733
angles: 121.89 121.89 90.07
Fractional positions:
1 Ga 0.251 0.751 0.502
2 Ga 0.751 0.251 0.502
3 La 0.750 0.251 0.001
4 La 0.749 0.749 0.000
5 La 0.754 0.754 0.507
6 La 0.251 0.251 0.001
7 La 0.251 0.750 0.001
8 H 0.020 0.020 0.040

## NbGe2Bi (PBE-GGA)

Data for crystalline NbGe2Bi at its relaxed geometry.

Calculated values
The space group is I-42d (122). For the volume, the calculation gives 120 Å³/f.u. For the energy of formation from the pure elements, the calculation gives 548 meV/atom.

abc: 6.237 6.237 7.598
angles: 65.77 65.77 90.00
Fractional positions:
1 Ge 0.168 0.625 0.250
2 Ge 0.582 0.125 0.250
3 Ge 0.375 0.418 0.750
4 Ge 0.875 0.832 0.750
5 Nb 0.500 0.500 0.000
6 Nb 0.250 0.750 0.500
7 Bi 0.000 0.000 0.000
8 Bi 0.750 0.250 0.500

## Hg2SeBr (PBE-GGA)

Data for crystalline Hg2SeBr at its relaxed geometry.

Calculated values
The space group is P4mm (99). The raw formation energy is -0.14 eV/atom. For the volume, the calculation gives 117 Å³/f.u. Its energy above the most stable polymorph in this dataset is 115 meV/atom.

abc: 4.063 4.063 7.093
angles: 90.00 90.00 90.00
Fractional positions:
1 Se 0.000 0.000 0.343
2 Br 0.500 0.500 0.836
3 Hg 0.000 0.000 0.960
4 Hg 0.500 0.500 0.361

## LiSmDyTc (PBE-GGA)

Data for crystalline LiSmDyTc at its relaxed geometry.

Calculated values
The space group is F-43m (216). For the volume, the calculation gives 87 Å³/f.u. For the energy of formation from the pure elements, the calculation gives 3 meV/atom.

abc: 4.973 4.973 4.973
angles: 60.00 60.00 60.00
Fractional positions:
1 Sm 0.250 0.250 0.250
2 Tc 0.500 0.500 0.500
3 Dy 0.750 0.750 0.750
4 Li 0.000 0.000 0.000

## TbNd5Ag4 (PBE-GGA)

Data for crystalline TbNd5Ag4 at its relaxed geometry.

Calculated values
The space group is P4/mmm (123). For the volume, the calculation gives 280 Å³/f.u. For the energy of formation from the pure elements, the calculation gives -200 meV/atom.

abc: 3.720 3.720 20.248
angles: 90.00 90.00 90.00
Fractional positions:
1 Ag 0.000 0.000 0.784
2 Ag 0.000 0.000 0.594
3 Ag 0.000 0.000 0.216
4 Ag 0.000 0.000 0.406
5 Nd 0.500 0.500 0.689
6 Nd 0.500 0.500 0.311
7 Nd 0.500 0.500 0.877
8 Nd 0.500 0.500 0.123
9 Nd 0.500 0.500 0.500
10 Tb 0.000 0.000 0.000

## Na2Ag2Br5 (PBE-GGA)

Data for crystalline Na2Ag2Br5 at its relaxed geometry.

Calculated values
The space group is Ima2 (46). The raw formation energy is -0.81 eV/atom. For the volume, the calculation gives 275 Å³/f.u.

abc: 7.698 7.790 10.690
angles: 111.37 111.10 90.00
Fractional positions:
1 Na 0.168 0.671 0.226
2 Na 0.441 0.945 0.774
3 Na 0.832 0.445 0.774
4 Na 0.559 0.171 0.226
5 Ag 0.000 0.948 0.000
6 Ag 0.847 0.838 0.500
7 Ag 0.500 0.448 0.000
8 Ag 0.153 0.338 0.500
9 Br 0.164 0.683 0.500
10 Br 0.230 0.165 0.949
11 Br 0.780 0.716 0.051
12 Br 0.447 0.292 0.714
13 Br 0.836 0.183 0.500
14 Br 0.233 0.078 0.286
15 Br 0.553 0.578 0.286
16 Br 0.770 0.216 0.051
17 Br 0.220 0.665 0.949
18 Br 0.767 0.792 0.714

## SmIn2Si2Pt7 (PBE-GGA)

Data for crystalline SmIn2Si2Pt7 at its relaxed geometry.

Calculated values
The space group is C2/m (12). The raw formation energy is -0.67 eV/atom. For the volume, the calculation gives 227 Å³/f.u.

abc: 4.015 4.015 14.210
angles: 84.18 84.18 90.17
Fractional positions:
1 Si 0.590 0.590 0.745
2 Si 0.410 0.410 0.255
3 Pt 0.442 0.943 0.161
4 Pt 0.380 0.380 0.419
5 Pt 0.943 0.442 0.161
6 Pt 0.057 0.558 0.839
7 Pt 0.620 0.620 0.581
8 Pt 0.500 0.500 0.000
9 Pt 0.558 0.057 0.839
10 In 0.106 0.106 0.604
11 In 0.894 0.894 0.396
12 Sm 0.000 0.000 0.000

## YAg2Br (PBE-GGA)

Data for crystalline YAg2Br at its relaxed geometry.

Calculated values
The space group is I-42d (122). The raw formation energy is -0.33 eV/atom. For the volume, the calculation gives 100 Å³/f.u. Its energy above the most stable polymorph in this dataset is 132 meV/atom.

abc: 8.432 8.432 6.593
angles: 50.25 50.25 90.00
Fractional positions:
1 Ag 0.131 0.625 0.250
2 Ag 0.619 0.125 0.250
3 Ag 0.875 0.869 0.750
4 Ag 0.375 0.381 0.750
5 Y 0.000 0.000 0.000
6 Y 0.750 0.250 0.500
7 Br 0.500 0.500 0.000
8 Br 0.250 0.750 0.500

Theoretical density: 6.11; 6.17; 7.94; 7.98; 7.77; 3.99; 13.20; 6.38 (g/cm³)
Magnetization: 0.00; 0.00; 0.00; 0.00; 0.00; 0.00; 0.00; 0.00 (μB/cell)
Total DFT energy (no corrections): -4.483; -5.248; -1.580; -5.397; -4.187; -2.671; -5.947; -3.787 (eV per atom)